A plane-wave DFT calculation with PBE-GGA was carried out for an optimized crystal structure of Th5Np3S8.

Cell lengths 7.9550, 7.9550, 19.7325 Å; angles 90.00, 90.00, 120.00 degrees
Space group R-3m (No. 166, hexagonal axes)
Symmetry-distinct sites (fractional):
Th  0.0000  0.0000  0.0000 [3 per cell]
Th  0.0000  0.0000  0.5000 [3 per cell]
Th  0.0000  0.5000  0.0000 [9 per cell]
Np  0.0000  0.5000  0.5000 [9 per cell]
S  0.0000  0.0000  0.2452 [6 per cell]
S  0.0057  0.5029  0.7529 [18 per cell]

**DFT total energy**: -407.57 eV for the cell shown
**Formation energy without anion corrections**: -1.682 eV per atom
**Crystal system**: trigonal

A plane-wave DFT calculation with PBE-GGA was carried out for an optimized crystal structure of K3PbS2O8.

Cell lengths 5.6981, 5.6981, 8.8861 Å; angles 90.00, 90.00, 120.00 degrees
Space group P-3m1 (No. 164)
Symmetry-distinct sites (fractional):
K  0.0000  0.0000  0.0000 [1 per cell]
K  0.3333  0.6667  0.7410 [2 per cell]
Pb  0.0000  0.0000  0.5000 [1 per cell]
S  0.3333  0.6667  0.2025 [2 per cell]
O  0.1897  0.3793  0.2590 [6 per cell]
O  0.3333  0.6667  0.0361 [2 per cell]

**DFT total energy**: -76.97 eV for the cell shown
**Formation energy without anion corrections**: -1.575 eV per atom
**Crystal system**: trigonal

A plane-wave DFT calculation with PBE-GGA was carried out for an optimized crystal structure of LiLaZn3.

Cell lengths 5.7749, 5.7749, 5.7749 Å; angles 90.00, 90.00, 90.00 degrees
Space group Pm-3m (No. 221)
Symmetry-distinct sites (fractional):
Li  0.0000  0.0000  0.0000 [1 per cell]
La  0.5000  0.5000  0.5000 [1 per cell]
Zn  0.0000  0.5000  0.5000 [3 per cell]

**DFT total energy**: -7.09 eV for the cell shown
**ΔE to the lowest computed polymorph**: 944 meV per atom
**Crystal system**: cubic